Compound: ZnCdP2
Source: the Alexandria database
Functional: PBE
Structure: optimized geometry

CIF file:
```
data_ZnCdP2
_chemical_formula_sum 'Zn1 Cd1 P2'
_space_group_name_H-M_alt 'P 1'
_space_group_IT_number 1
_cell_length_a 5.730
_cell_length_b 5.730
_cell_length_c 5.029
_cell_angle_alpha 110.55
_cell_angle_beta 110.55
_cell_angle_gamma 32.66
loop_
_space_group_symop_operation_xyz
'x,y,z'
loop_
_atom_site_label
_atom_site_fract_x
_atom_site_fract_y
_atom_site_fract_z
Zn1 0.750 0.750 0.750
Cd1 0.250 0.250 0.250
P1 0.513 0.513 0.613
P2 0.987 0.987 0.887
```

## Properties
ΔE_f ... 1.392 kcal/mol of atoms
Spin magnetization ... 0.00 μB/cell
Relative energy among the computed polymorphs ... 0.000 eV per atom
Space-group type ... C2/m, No. 12